# 1
Here is a relaxed structure of ReSb2C from Alexandria. Energies are from PBE.

- Space group: No. 122
- E_form (uncorrected): 1.244 eV per atom
- N(E_F): 6.2 states/eV/cell
- Electronic total energy: -49.88 eV per cell
- Theoretical density: 8.87 g cm⁻³

Cell lengths 5.881, 5.881, 6.339 Å; angles 62.36, 62.36, 90.00 degrees
Atoms (fractional coordinates):
Re 0.000 0.000 0.000
Re 0.750 0.250 0.500
C 0.500 0.500 0.000
C 0.250 0.750 0.500
Sb 0.569 0.125 0.250
Sb 0.181 0.625 0.250
Sb 0.375 0.431 0.750
Sb 0.875 0.819 0.750

***

# 2
Here is a relaxed structure of Sc2ReSbC from Alexandria. Energies are from PBE.

- Space group: No. 123
- E_form (uncorrected): -0.426 eV per atom
- N(E_F): 2.7 states/eV/cell
- Electronic total energy: -40.59 eV per cell
- Theoretical density: 7.98 g cm⁻³

Cell lengths 4.589, 4.589, 4.050 Å; angles 90.00, 90.00, 90.00 degrees
Atoms (fractional coordinates):
Sc 0.000 0.500 0.000
Sc 0.500 0.000 0.000
Re 0.000 0.000 0.500
C 0.000 0.000 0.000
Sb 0.500 0.500 0.500

***

# 3
Here is a relaxed structure of Sc2ReC2 from Alexandria. Energies are from PBE.

- Space group: No. 127
- Offset from the most stable computed form: 272 meV/atom
- Formation enthalpy at 0 K: -0.21 eV/atom
- N(E_F): 4.6 states/eV/cell
- Electronic total energy: -89.27 eV per cell
- Theoretical density: 8.22 g cm⁻³

Cell lengths 5.981, 5.981, 3.389 Å; angles 90.00, 90.00, 90.00 degrees
Atoms (fractional coordinates):
Sc 0.164 0.664 0.500
Sc 0.664 0.836 0.500
Sc 0.836 0.336 0.500
Sc 0.336 0.164 0.500
Re 0.000 0.000 0.000
Re 0.500 0.500 0.000
C 0.349 0.849 0.000
C 0.849 0.651 0.000
C 0.651 0.151 0.000
C 0.151 0.349 0.000

***

# 4
Here is a relaxed structure of ScRe2C from Alexandria. Energies are from PBE.

- Space group: No. 122
- Formation enthalpy at 0 K: 0.93 eV/atom
- N(E_F): 9.1 states/eV/cell
- Electronic total energy: -73.43 eV per cell
- Theoretical density: 9.56 g cm⁻³

Cell lengths 5.241, 5.241, 6.576 Å; angles 66.52, 66.52, 90.00 degrees
Atoms (fractional coordinates):
Sc 0.000 0.000 0.000
Sc 0.750 0.250 0.500
Re 0.459 0.125 0.250
Re 0.291 0.625 0.250
Re 0.375 0.541 0.750
Re 0.875 0.709 0.750
C 0.500 0.500 0.000
C 0.250 0.750 0.500

***

# 5
Here is a relaxed structure of Sc3ReC4 from Alexandria. Energies are from PBE.

- Space group: No. 71
- Formation enthalpy at 0 K: -0.42 eV/atom
- N(E_F): 1.7 states/eV/cell
- Electronic total energy: -71.70 eV per cell
- Theoretical density: 6.51 g cm⁻³

Cell lengths 3.351, 4.495, 6.846 Å; angles 109.17, 104.17, 90.00 degrees
Atoms (fractional coordinates):
Sc 0.000 0.500 0.000
Sc 0.808 0.808 0.616
Sc 0.192 0.192 0.384
Re 0.500 0.000 0.000
C 0.627 0.466 0.254
C 0.373 0.534 0.746
C 0.373 0.211 0.746
C 0.627 0.789 0.254

***

# 6
Here is a relaxed structure of ScReC from Alexandria. Energies are from PBE.

- Space group: No. 65
- Formation enthalpy at 0 K: -0.30 eV/atom
- N(E_F): 3.4 states/eV/cell
- Electronic total energy: -57.79 eV per cell
- Theoretical density: 9.50 g cm⁻³

Cell lengths 3.125, 5.261, 5.261 Å; angles 100.55, 90.00, 90.00 degrees
Atoms (fractional coordinates):
Sc 0.500 0.790 0.210
Sc 0.500 0.210 0.790
C 0.000 0.000 0.000
C 0.500 0.500 0.500
Re 0.000 0.296 0.295
Re 0.000 0.704 0.705

***

# 7
Here is a relaxed structure of Sc2ReC2 from Alexandria. Energies are from PBE.

- Space group: No. 62
- Offset from the most stable computed form: 0 meV/atom
- Formation enthalpy at 0 K: -0.49 eV/atom
- N(E_F): 8.3 states/eV/cell
- Electronic total energy: -183.97 eV per cell
- Theoretical density: 7.13 g cm⁻³

Cell lengths 4.772, 6.267, 9.351 Å; angles 90.00, 90.00, 90.00 degrees
Atoms (fractional coordinates):
Sc 0.750 0.663 0.563
Sc 0.250 0.837 0.063
Sc 0.250 0.337 0.437
Sc 0.750 0.163 0.937
Sc 0.750 0.047 0.280
Sc 0.250 0.453 0.780
Sc 0.250 0.953 0.720
Sc 0.750 0.547 0.220
Re 0.750 0.195 0.620
Re 0.250 0.305 0.120
Re 0.250 0.805 0.380
Re 0.750 0.695 0.880
C 0.750 0.428 0.757
C 0.250 0.072 0.257
C 0.250 0.572 0.243
C 0.750 0.928 0.743
C 0.750 0.838 0.065
C 0.250 0.662 0.565
C 0.250 0.162 0.935
C 0.750 0.338 0.435

***

# 8
Here is a relaxed structure of Sc2Re2C3 from Alexandria. Energies are from PBE.

- Space group: No. 12
- Formation enthalpy at 0 K: -0.40 eV/atom
- N(E_F): 2.9 states/eV/cell
- Electronic total energy: -68.00 eV per cell
- Theoretical density: 9.24 g cm⁻³

Cell lengths 3.135, 5.470, 5.796 Å; angles 109.87, 105.69, 90.00 degrees
Atoms (fractional coordinates):
Sc 0.614 0.833 0.228
Sc 0.386 0.167 0.772
Re 0.848 0.674 0.696
Re 0.152 0.326 0.304
C 0.000 0.000 0.000
C 0.758 0.258 0.516
C 0.242 0.742 0.484